Compound: ReNi2W
Source: the Alexandria database
Functional: GGA-PBE
Structure: relaxed

Output
The total moment is 0.2 μB/f.u. The value obtained for the formation energy is 19 kJ/mol of atoms. As for the density of states at the Fermi level: 6.6 states/eV per cell. As for the volume: 13.54 Å³ per atom.

Unit cell a=8.770 b=8.770 c=8.770 alpha=17.65 beta=17.65 gamma=17.65
Sites, in units of the cell vectors:
W 0.750 0.750 0.750
Ni 0.502 0.502 0.502
Re 0.250 0.250 0.250
Ni 0.998 0.998 0.998

---

Compound: TlGa2CuF8
Source: the Alexandria database
Functional: GGA-PBE
Structure: relaxed

Output
The value obtained for the uncorrected formation energy is -2.13 eV per atom. The total moment is 0.1 μB/f.u. As for the density of states at the Fermi level: 6.3 states/eV per cell. As for the volume: 16.37 Å³ per atom.

Unit cell a=5.431 b=5.431 c=8.303 alpha=70.91 beta=70.91 gamma=60.00
Sites, in units of the cell vectors:
F 0.179 0.179 0.464
F 0.821 0.821 0.536
F 0.277 0.960 0.164
Ga 0.257 0.257 0.228
F 0.040 0.400 0.836
F 0.960 0.600 0.164
F 0.600 0.277 0.164
F 0.723 0.040 0.836
Tl 0.500 0.500 0.500
Cu 0.000 0.000 0.000
F 0.400 0.723 0.836
Ga 0.743 0.743 0.772

---

Compound: UGa3Pt12
Source: the Alexandria database
Functional: GGA-PBE
Structure: relaxed

Output
The total moment is 0.6 μB/f.u. The value obtained for the formation energy is -51 kJ/mol of atoms. As for the density of states at the Fermi level: 14.5 states/eV per cell. As for the volume: 16.02 Å³ per atom.

Unit cell a=4.011 b=4.011 c=15.934 alpha=90.00 beta=90.00 gamma=90.00
Sites, in units of the cell vectors:
U 0.000 0.000 0.000
Ga 0.000 0.000 0.736
Ga 0.000 0.000 0.500
Pt 0.500 0.500 0.745
Pt 0.500 0.000 0.130
Ga 0.000 0.000 0.264
Pt 0.500 0.000 0.870
Pt 0.500 0.000 0.621
Pt 0.500 0.500 0.500
Pt 0.000 0.500 0.379
Pt 0.500 0.000 0.379
Pt 0.000 0.500 0.130
Pt 0.500 0.500 0.000
Pt 0.000 0.500 0.870
Pt 0.500 0.500 0.255
Pt 0.000 0.500 0.621

---

Compound: TbPm2SmN4
Source: the Alexandria database
Functional: GGA-PBE
Structure: relaxed

Output
The value obtained for the uncorrected formation energy is -1.50 eV per atom. The total moment is 0.0 μB/f.u. As for the density of states at the Fermi level: 0.3 states/eV per cell. As for the volume: 16.22 Å³ per atom.

Unit cell a=3.580 b=6.198 c=6.198 alpha=109.42 beta=90.00 gamma=90.00
Sites, in units of the cell vectors:
N 0.000 0.254 0.755
Sm 0.000 0.000 0.000
Pm 0.500 0.000 0.500
N 0.000 0.746 0.245
Tb 0.500 0.500 0.000
N 0.500 0.251 0.247
Pm 0.000 0.500 0.500
N 0.500 0.749 0.753

---

Compound: PmEr2Te4
Source: the Alexandria database
Functional: GGA-PBE
Structure: relaxed

Output
The value obtained for the uncorrected formation energy is -1.38 eV per atom. The energy above the most stable polymorph in this dataset is 0 kJ/mol of formula units. The total moment is 0.0 μB/f.u. As for the density of states at the Fermi level: 3.0 states/eV per cell. As for the volume: 34.61 Å³ per atom.

Unit cell a=4.354 b=7.542 c=8.588 alpha=116.41 beta=104.69 gamma=90.00
Sites, in units of the cell vectors:
Pm 0.000 0.000 0.000
Er 0.745 0.759 0.491
Er 0.255 0.241 0.509
Te 0.126 0.791 0.251
Te 0.366 0.703 0.733
Te 0.874 0.209 0.749
Te 0.634 0.297 0.267

---

Compound: Th5Sc4Pa
Source: the Alexandria database
Functional: GGA-PBE
Structure: relaxed

Output
The total moment is 0.0 μB/f.u. The value obtained for the formation energy is 4 kJ/mol of atoms. As for the density of states at the Fermi level: 12.9 states/eV per cell. As for the volume: 28.43 Å³ per atom.

Unit cell a=3.473 b=3.473 c=23.567 alpha=90.00 beta=90.00 gamma=90.00
Sites, in units of the cell vectors:
Sc 0.000 0.000 0.799
Th 0.500 0.500 0.500
Sc 0.000 0.000 0.399
Th 0.500 0.500 0.700
Th 0.500 0.500 0.899
Pa 0.000 0.000 0.000
Th 0.500 0.500 0.101
Sc 0.000 0.000 0.201
Sc 0.000 0.000 0.601
Th 0.500 0.500 0.300

---

total moment of number 4 (TbPm2SmN4)? 0.0 μB/f.u.

---

Among the records above, which one has the highest total moment? UGa3Pt12